[1]
The following is a GGA-PBEsol calculation of a relaxed Ba2InI crystal, from Alexandria via LeMat-Bulk.

Unit cell a=8.530 b=8.530 c=8.530 alpha=90.00 beta=90.00 gamma=90.00
Space group Fm-3m (No. 225)
Inequivalent atoms, fractional coordinates:
Ba1 0.250 0.250 0.250
In1 0.000 0.000 0.000
I1 0.000 0.000 0.500


[2]
The following is a GGA-PBEsol calculation of a relaxed Er2Ti2O7 crystal, from Alexandria via LeMat-Bulk.

Unit cell a=9.998 b=9.998 c=9.998 alpha=90.00 beta=90.00 gamma=90.00
Space group Fd-3m (No. 227, origin choice 2)
Inequivalent atoms, fractional coordinates:
Er1 0.000 0.000 0.000
Ti1 0.000 0.000 0.500
O1 0.082 0.375 0.875
O2 0.125 0.125 0.125


Number 1: formation energy without anion corrections -267 kJ/mol of formula units, density of states at the Fermi level 1.439 states/eV per atom. Number 2: formation energy without anion corrections -3600 kJ/mol of formula units, density of states at the Fermi level 0.000 states/eV per atom.